Computed, not measured: a geometry-optimized CrSiTe2 structure at the PBE level of DFT.

a b c (Å): 3.474 3.474 7.150
angles (deg): 90.00 90.00 90.00
Site moments in Bohr magnetons follow the coordinates.
Fractional coordinates of all 4 atoms:
1 Cr 0.500 0.500 0.250  3.23
2 Si 0.500 0.500 0.750  0.01
3 Te 0.000 0.000 0.479  -0.14
4 Te 0.000 0.000 0.021  -0.14

Summary:
Its total energy is -4.895 eV/atom. Its theoretical density is 6452 kg/m³. The calculation puts the volume at 21.6 A^3/atom. The calculation puts the total magnetic moment at 3.1 Bohr magnetons per cell.